Material: Ta4NiN
Method: DFT, PBE
State: relaxed

The structure in CIF format:
```
data_Ta4NiN
_chemical_formula_sum 'Ta16 Ni4 N4'
_cell_length_a 6.904
_cell_length_b 12.038
_cell_length_c 5.473
_cell_angle_alpha 90.00
_cell_angle_beta 125.71
_cell_angle_gamma 90.00
_symmetry_space_group_name_H-M 'C 1 2/c 1'
_symmetry_Int_Tables_number 15
loop_
_symmetry_equiv_pos_as_xyz
'x,y,z'
'-x,-y,-z'
'-x,y,-z+1/2'
'x,-y,z+1/2'
'x+1/2,y+1/2,z'
'-x+1/2,-y+1/2,-z'
'-x+1/2,y+1/2,-z+1/2'
'x+1/2,-y+1/2,z+1/2'
loop_
_atom_site_label
_atom_site_fract_x
_atom_site_fract_y
_atom_site_fract_z
Ta1 0.143 0.209 0.151
Ta2 0.240 0.048 0.727
Ni1 0.000 0.380 0.750
N1 0.000 0.063 0.250
```

Values from the calculation:
As for the density of states at the Fermi level: 4.31 states/eV/f.u. Its uncorrected formation energy is -0.290 eV per atom. The calculation puts the total magnetic moment at 0.00 μB/cell. The volume is 369.4 Å³/cell. For the final energy, the calculation gives -10.54 eV/atom. As for the crystal system: monoclinic.

=====

Material: LiPrYHg
Method: DFT, PBE
State: relaxed

The structure in CIF format:
```
data_LiPrYHg
_chemical_formula_sum 'Li4 Pr4 Y4 Hg4'
_cell_length_a 7.549
_cell_length_b 7.549
_cell_length_c 7.549
_cell_angle_alpha 90.00
_cell_angle_beta 90.00
_cell_angle_gamma 90.00
_symmetry_space_group_name_H-M 'F -4 3 m'
_symmetry_Int_Tables_number 216
_symmetry_space_group_name_Hall 'F -4 2 3'
loop_
_atom_site_label
_atom_site_fract_x
_atom_site_fract_y
_atom_site_fract_z
Li1 0.000 0.000 0.000
Pr1 0.250 0.250 0.250
Y1 0.250 0.250 0.750
Hg1 0.000 0.000 0.500
```

Values from the calculation:
The value obtained for the energy of formation from the pure elements is -216.3 meV/atom. As for the density of states at the Fermi level: 4.98 states/eV/f.u. The calculation puts the total magnetic moment at 2.07 μB/cell. The volume is 430.1 Å³/cell. For the final energy, the calculation gives -3.58 eV/atom. As for the crystal system: cubic.

=====

Question: The highest final energy belongs to which entry?
Answer: LiPrYHg

=====

What did the first record say?
Material: Ta4NiN
Method: DFT, PBE
State: relaxed

The structure in CIF format:
```
data_Ta4NiN
_chemical_formula_sum 'Ta16 Ni4 N4'
_cell_length_a 6.904
_cell_length_b 12.038
_cell_length_c 5.473
_cell_angle_alpha 90.00
_cell_angle_beta 125.71
_cell_angle_gamma 90.00
_symmetry_space_group_name_H-M 'C 1 2/c 1'
_symmetry_Int_Tables_number 15
loop_
_symmetry_equiv_pos_as_xyz
'x,y,z'
'-x,-y,-z'
'-x,y,-z+1/2'
'x,-y,z+1/2'
'x+1/2,y+1/2,z'
'-x+1/2,-y+1/2,-z'
'-x+1/2,y+1/2,-z+1/2'
'x+1/2,-y+1/2,z+1/2'
loop_
_atom_site_label
_atom_site_fract_x
_atom_site_fract_y
_atom_site_fract_z
Ta1 0.143 0.209 0.151
Ta2 0.240 0.048 0.727
Ni1 0.000 0.380 0.750
N1 0.000 0.063 0.250
```

Values from the calculation:
As for the density of states at the Fermi level: 4.31 states/eV/f.u. Its uncorrected formation energy is -0.290 eV per atom. The calculation puts the total magnetic moment at 0.00 μB/cell. The volume is 369.4 Å³/cell. For the final energy, the calculation gives -10.54 eV/atom. As for the crystal system: monoclinic.

=====

Question: Which of these has the highest final energy?
Answer: LiPrYHg